Record 1
Compound: Sr2CdGa4Sn3
Source: Alexandria via LeMat-Bulk
Functional: PBE-GGA
Structure: relaxed

Spin magnetization, μB per atom: 0.000
Raw total energy, eV/atom: -3.15
Formation energy from the elements, eV/f.u.: -3.06

a = 4.9488 Å, b = 4.9488 Å, c = 10.8416 Å
α = 90.00°, β = 90.00°, γ = 90.00°
Space group P-4m2 (No. 115)
Asymmetric unit:
1 Sr 0.0000 0.5000 0.2445 x2
2 Cd 0.0000 0.0000 0.5000 x1
3 Ga 0.0000 0.0000 0.0000 x1
4 Ga 0.0000 0.5000 0.6287 x2
5 Ga 0.5000 0.5000 0.0000 x1
6 Sn 0.0000 0.5000 0.8780 x2
7 Sn 0.5000 0.5000 0.5000 x1

Record 2
Compound: TlCdGaSn2
Source: Alexandria via LeMat-Bulk
Functional: PBE-GGA
Structure: relaxed

Spin magnetization, μB per atom: 0.000
Raw total energy, eV/atom: -2.45
Formation energy from the elements, eV/f.u.: 2.05

a = 5.6710 Å, b = 5.6710 Å, c = 5.0767 Å
α = 90.00°, β = 90.00°, γ = 90.00°
Space group P4/mmm (No. 123)
Asymmetric unit:
1 Tl 0.0000 0.0000 0.0000 x1
2 Cd 0.5000 0.5000 0.5000 x1
3 Ga 0.5000 0.5000 0.0000 x1
4 Sn 0.0000 0.5000 0.5000 x2

Record 3
Compound: ZnCdGaSn
Source: Alexandria via LeMat-Bulk
Functional: PBE-GGA
Structure: relaxed

Spin magnetization, μB per atom: 0.000
Raw total energy, eV/atom: -2.16
Formation energy from the elements, eV/f.u.: 0.57

a = 7.0440 Å, b = 7.0440 Å, c = 7.0440 Å
α = 90.00°, β = 90.00°, γ = 90.00°
Space group F-43m (No. 216)
Asymmetric unit:
1 Zn 0.0000 0.0000 0.0000 x4
2 Cd 0.2500 0.2500 0.2500 x4
3 Ga 0.0000 0.0000 0.5000 x4
4 Sn 0.2500 0.2500 0.7500 x4

Record 4
Compound: SrCd3Ga
Source: Alexandria via LeMat-Bulk
Functional: PBE-GGA
Structure: relaxed

Spin magnetization, μB per atom: 0.000
Raw total energy, eV/atom: -1.51
Relative energy among the computed polymorphs, meV/atom: 271
Formation energy from the elements, eV/f.u.: -0.10

a = 5.2766 Å, b = 5.2766 Å, c = 5.2766 Å
α = 90.00°, β = 90.00°, γ = 90.00°
Space group Pm-3m (No. 221)
Asymmetric unit:
1 Sr 0.0000 0.0000 0.0000 x1
2 Cd 0.0000 0.5000 0.5000 x3
3 Ga 0.5000 0.5000 0.5000 x1